Record 1
# GGA+U Cs2VAgO4, optimized geometry
data_Cs2VAgO4
_symmetry_space_group_name_H-M 'F d d d'
_symmetry_Int_Tables_number 70
_cell_length_a 5.505
_cell_length_b 12.628
_cell_length_c 21.858
_cell_angle_alpha 90.00
_cell_angle_beta 90.00
_cell_angle_gamma 90.00
loop_
_symmetry_equiv_pos_as_xyz
'x,y,z'
'-x,-y,-z'
'-x+1/4,-y+1/4,z'
'x+1/4,y+1/4,-z'
'x,-y+1/4,-z+1/4'
'-x,y+1/4,z+1/4'
'-x+1/4,y,-z+1/4'
'x+1/4,-y,z+1/4'
'x,y+1/2,z+1/2'
'-x,-y+1/2,-z+1/2'
'-x+1/4,-y+3/4,z+1/2'
'x+1/4,y+3/4,-z+1/2'
'x,-y+3/4,-z+3/4'
'-x,y+3/4,z+3/4'
'-x+1/4,y+1/2,-z+3/4'
'x+1/4,-y+1/2,z+3/4'
'x+1/2,y,z+1/2'
'-x+1/2,-y,-z+1/2'
'-x+3/4,-y+1/4,z+1/2'
'x+3/4,y+1/4,-z+1/2'
'x+1/2,-y+1/4,-z+3/4'
'-x+1/2,y+1/4,z+3/4'
'-x+3/4,y,-z+3/4'
'x+3/4,-y,z+3/4'
'x+1/2,y+1/2,z'
'-x+1/2,-y+1/2,-z'
'-x+3/4,-y+3/4,z'
'x+3/4,y+3/4,-z'
'x+1/2,-y+3/4,-z+1/4'
'-x+1/2,y+3/4,z+1/4'
'-x+3/4,y+1/2,-z+1/4'
'x+3/4,-y+1/2,z+1/4'
loop_
_atom_site_label
_atom_site_type_symbol
_atom_site_fract_x
_atom_site_fract_y
_atom_site_fract_z
Cs1 Cs 0.125 0.125 0.299
V1 V 0.125 0.125 0.625
Ag1 Ag 0.125 0.125 0.125
O1 O 0.052 0.291 0.829
# E_tot = -5.486 eV/atom
# DOS(E_F) = 0.00 states/eV/cell

***

Record 2
# GGA+U Cs3V2AgO8, optimized geometry
data_Cs3V2AgO8
_symmetry_space_group_name_H-M 'P -3 m 1'
_symmetry_Int_Tables_number 164
_symmetry_space_group_name_Hall '-P 3 2"'
_cell_length_a 6.1323
_cell_length_b 6.1323
_cell_length_c 8.3195
_cell_angle_alpha 90.00
_cell_angle_beta 90.00
_cell_angle_gamma 120.00
loop_
_atom_site_label
_atom_site_type_symbol
_atom_site_fract_x
_atom_site_fract_y
_atom_site_fract_z
Cs1 Cs 0.0000 0.0000 0.0000
Cs2 Cs 0.3333 0.6667 0.7243
V1 V 0.3333 0.6667 0.2838
Ag1 Ag 0.0000 0.0000 0.5000
O1 O 0.1732 0.3465 0.3411
O2 O 0.3333 0.6667 0.0798
# E_tot = -5.807 eV/atom
# DOS(E_F) = 4.94 states/eV/cell

***

Record 3
# GGA+U CsVAg2O4, optimized geometry
data_CsVAg2O4
_symmetry_space_group_name_H-M 'I -4 2 m'
_symmetry_Int_Tables_number 121
_symmetry_space_group_name_Hall 'I -4 2'
_cell_length_a 5.970
_cell_length_b 5.970
_cell_length_c 7.899
_cell_angle_alpha 90.00
_cell_angle_beta 90.00
_cell_angle_gamma 90.00
loop_
_atom_site_label
_atom_site_type_symbol
_atom_site_fract_x
_atom_site_fract_y
_atom_site_fract_z
Cs1 Cs 0.000 0.000 0.000
V1 V 0.000 0.000 0.500
Ag1 Ag 0.000 0.500 0.250
O1 O 0.168 0.168 0.368
# E_tot = -5.455 eV/atom
# DOS(E_F) = 0.00 states/eV/cell